# 1
Entry from Alexandria: crystalline Ti8Zn3Sn2 at its relaxed geometry (PBE).

abc: 3.9327 8.6636 8.5060
angles: 120.61 89.91 90.00
With the nearest neighbours (Å) after each atom.
Fractional positions:
Ti  0.0022  0.5956  0.1912  2 Zn 2.73, 5 Ti 2.80-3.02, 2 Sn 2.86
Ti  0.9978  0.4044  0.8088  2 Zn 2.73, 5 Ti 2.80-3.02, 2 Sn 2.86
Ti  0.9991  0.1281  0.2563  4 Zn 2.72-2.73, 2 Sn 2.78, 4 Ti 2.87
Ti  0.0009  0.8718  0.7437  4 Zn 2.72-2.73, 2 Sn 2.78, 4 Ti 2.87
Ti  0.5002  0.6329  0.7486  3 Zn 2.69-2.79, 2 Sn 2.78-2.89, 3 Ti 2.87-3.01
Ti  0.5002  0.1157  0.7486  3 Zn 2.69-2.79, 2 Sn 2.78-2.89, 3 Ti 2.87-3.01
Ti  0.4998  0.8843  0.2514  3 Zn 2.69-2.79, 2 Sn 2.78-2.89, 3 Ti 2.87-3.01
Ti  0.4998  0.3671  0.2514  3 Zn 2.69-2.79, 2 Sn 2.78-2.89, 3 Ti 2.87-3.01
Zn  0.5000  0.0000  0.0000  8 Ti 2.72-2.79, 4 Zn 2.79
Zn  0.0000  0.2288  0.0000  8 Ti 2.69-2.73, 2 Zn 2.79
Zn  0.0000  0.7712  0.0000  8 Ti 2.69-2.73, 2 Zn 2.79
Sn  0.4983  0.2624  0.5248  8 Ti 2.78-2.89
Sn  0.5017  0.7376  0.4752  8 Ti 2.78-2.89

**Symmetry**: No. 12
**Calculated total energy**: -5.66 eV per atom
**DOS(E_F)**: 1.1526 states/eV/atom
**Density**: 5.44 g/cm³


# 2
Entry from Alexandria: crystalline TiZnSn2 at its relaxed geometry (PBE).

abc: 3.9146 4.5340 4.5340
angles: 90.00 90.00 90.00
With the nearest neighbours (Å) after each atom.
Fractional positions:
Zn  0.5000  0.0000  0.0000  8 Sn 3.00, 4 Ti 3.21
Sn  0.0000  0.0000  0.5000  4 Ti 3.00, 4 Zn 3.00, 4 Sn 3.21
Sn  0.0000  0.5000  0.0000  4 Zn 3.00, 4 Ti 3.00, 4 Sn 3.21
Ti  0.5000  0.5000  0.5000  8 Sn 3.00, 4 Zn 3.21

**Symmetry**: No. 123
**Calculated total energy**: -4.30 eV per atom
**DOS(E_F)**: 0.6869 states/eV/atom
**Density**: 7.24 g/cm³


# 3
Entry from Alexandria: crystalline ZrTi2ZnSn at its relaxed geometry (PBE).

abc: 5.0483 4.7239 5.0483
angles: 90.00 90.00 90.00
With the nearest neighbours (Å) after each atom.
Fractional positions:
Zn  0.0000  0.5000  0.0000  2 Sn 2.36
Sn  0.0000  0.0000  0.0000  2 Zn 2.36, 4 Ti 2.52
Zr  0.5000  0.5000  0.5000  8 Ti 3.46, 4 Zn 3.57
Ti  0.0000  0.0000  0.5000  2 Sn 2.52
Ti  0.5000  0.0000  0.0000  2 Sn 2.52

**Symmetry**: No. 123
**Calculated total energy**: -5.03 eV per atom
**DOS(E_F)**: 1.3802 states/eV/atom
**Density**: 5.12 g/cm³


Number 1: formation energy from the elements 108 meV/atom. Number 2: formation energy from the elements -10 meV/atom. Number 3: formation energy from the elements 897 meV/atom.